1.
ZnCdOs2: single point on PBEsol structure, meta-GGA SCAN.

Summary:
Calculated density = 15.05 g cm⁻³
Formation energy = 0.61 eV per atom
E_tot = -46.3096 eV/atom

Lattice parameters (Å, degrees): 2.7128 4.1101 5.5261 90.00 90.00 90.00
Fractional coordinates of all 4 atoms:
Zn 0.0000 0.0000 0.0000
Cd 0.0000 0.0000 0.5000
Os 0.5000 0.5000 0.2163
Os 0.5000 0.5000 0.7837


2.
Zr3CdOs: single point on PBEsol structure, meta-GGA SCAN.

Summary:
Calculated density = 7.68 g cm⁻³
Formation energy = 1.68 eV per atom
E_tot = -37.1935 eV/atom

Lattice parameters (Å, degrees): 4.9955 4.9955 4.9955 90.00 90.00 90.00
Fractional coordinates of all 5 atoms:
Zr 0.0000 0.0000 0.5000
Zr 0.0000 0.5000 0.0000
Zr 0.5000 0.0000 0.0000
Cd 0.0000 0.0000 0.0000
Os 0.5000 0.5000 0.5000